Below is an optimized crystal structure of MnCdCl2, with properties calculated at the PBE-GGA level.

Lattice parameters (Å, degrees): 3.5407 3.5407 10.0444 90.00 90.00 119.18
Closest atoms and distances in Å follow each position.
Atoms (fractional coordinates):
Mn (0.0000, 0.0000, 0.0000)  4 Cl 2.43
Cd (0.0000, 0.0000, 0.5000)  6 Cd 3.54-3.58, 4 Cl 3.83
Cl (0.5000, 0.5000, 0.1635)  2 Mn 2.43
Cl (0.5000, 0.5000, 0.8365)  2 Mn 2.43

D(E_F)   0.314 states/eV per atom
Total magnetization   4.8 μB per formula unit
Space-group type   No. 65
Energy relative to the elements, uncorrected   -52.5 kJ per mole of atoms